# GGA+U MoIN2F, relaxed
# **Calculated volume**: 78.1 Å³/cell
# **Crystal system**: tetragonal
# **Total energy**: -4.031 eV per atom
# **DOS at the Fermi energy**: 1.8 states/eV/f.u.
# **Relative energy among the computed polymorphs**: 0.869 eV/atom
data_MoIN2F
_chemical_formula_sum 'Mo1 I1 N2 F1'
_symmetry_space_group_name_H-M 'P 1'
_symmetry_Int_Tables_number 1
_cell_length_a 4.1882
_cell_length_b 4.1882
_cell_length_c 4.4549
_cell_angle_alpha 90.00
_cell_angle_beta 90.00
_cell_angle_gamma 90.00
loop_
_symmetry_equiv_pos_as_xyz
'x,y,z'
loop_
_atom_site_label
_atom_site_fract_x
_atom_site_fract_y
_atom_site_fract_z
_atom_site_occupancy
I1 0.0000 0.0000 0.0000 1
Mo1 0.5000 0.5000 0.5000 1
N1 0.0000 0.5000 0.0000 1
N2 0.5000 0.0000 0.0000 1
F1 0.0000 0.0000 0.5000 1